Below is a geometry-optimized AcSiMoO6 structure, with properties calculated at the PBE with a Hubbard U level.

Summary:
E: -7.703 eV per atom
Space group: P312, No. 149
Crystal system: trigonal
Theoretical density: 6150 kg/m3
DOS(E_F): 0.0 states/eV/cell

Unit cell a=5.1164 b=5.1164 c=5.3243 alpha=90.00 beta=90.00 gamma=120.00
With the nearest neighbours (Å) after each atom.
Fractional positions:
Ac1 0.0000 0.0000 0.0000  6 O 2.55
Si1 0.6667 0.3333 0.5000  6 O 1.81
Mo1 0.3333 0.6667 0.5000  6 O 2.00
O1 0.4002 0.0266 0.6978  1 Si 1.81, 1 Mo 2.00
O2 0.4002 0.3736 0.3022  1 Si 1.81, 1 Mo 2.00
O3 0.6264 0.0266 0.3022  1 Si 1.81, 1 Mo 2.00
O4 0.6264 0.5998 0.6978  1 Si 1.81, 1 Mo 2.00
O5 0.9734 0.3736 0.6978  1 Si 1.81, 1 Mo 2.00
O6 0.9734 0.5998 0.3022  1 Si 1.81, 1 Mo 2.00